No. 1
{"formula": "Sc2TlBr", "functional": "meta-GGA SCAN", "state": "PBEsol geometry", "cell": [[3.441, 0.000, 0.000], [0.000, 4.708, 0.000], [0.000, 0.000, 5.790]], "species": ["Sc", "Sc", "Tl", "Br"], "fractional_positions": [[0.000, 0.000, 0.000], [0.500, 0.000, 0.500], [0.000, 0.500, 0.500], [0.500, 0.500, 0.000]], "spacegroup": "Pmmm, No. 47", "polymorph_energy_ev_per_atom": 0.226}


No. 2
{"formula": "ScTlBr", "functional": "meta-GGA SCAN", "state": "PBEsol geometry", "cell": [[0.000, 2.930, 7.633], [1.790, 0.000, 7.633], [1.790, 2.930, 0.000]], "species": ["Sc", "Tl", "Br"], "fractional_positions": [[0.000, 0.000, 0.000], [0.656, 0.656, 0.344], [0.374, 0.374, 0.626]], "spacegroup": "Fmm2, No. 42", "polymorph_energy_ev_per_atom": 0.152}


No. 3
{"formula": "ScTlBr", "functional": "meta-GGA SCAN", "state": "PBEsol geometry", "cell": [[3.475, 0.000, 0.000], [-1.737, 3.009, 0.000], [0.000, 0.000, 7.345]], "species": ["Sc", "Tl", "Br"], "fractional_positions": [[0.000, 0.000, 0.000], [0.333, 0.667, 0.687], [0.667, 0.333, 0.243]], "spacegroup": "P3m1, No. 156", "polymorph_energy_ev_per_atom": 0.000}


No. 4
{"formula": "ScTl3Br", "functional": "meta-GGA SCAN", "state": "PBEsol geometry", "cell": [[5.702, 0.000, 0.000], [0.000, 5.702, 0.000], [0.000, 0.000, 5.702]], "species": ["Sc", "Tl", "Tl", "Tl", "Br"], "fractional_positions": [[0.000, 0.000, 0.000], [0.000, 0.500, 0.500], [0.500, 0.000, 0.500], [0.500, 0.500, 0.000], [0.500, 0.500, 0.500]], "spacegroup": "Pm-3m, No. 221"}


No. 5
{"formula": "Sc2TlBr", "functional": "meta-GGA SCAN", "state": "PBEsol geometry", "cell": [[-1.892, 2.942, 4.121], [1.892, -2.942, 4.121], [1.892, 2.942, -4.121]], "species": ["Sc", "Sc", "Tl", "Br"], "fractional_positions": [[0.221, 0.221, 0.000], [0.779, 0.779, 0.000], [0.500, 0.000, 0.500], [0.000, 0.500, 0.500]], "spacegroup": "Immm, No. 71", "polymorph_energy_ev_per_atom": 0.102}


No. 6
{"formula": "Sc2TlBr", "functional": "meta-GGA SCAN", "state": "PBEsol geometry", "cell": [[3.305, 0.000, 0.000], [0.000, 3.305, 0.000], [0.000, 0.000, 7.735]], "species": ["Sc", "Sc", "Tl", "Br"], "fractional_positions": [[0.000, 0.000, 0.241], [0.000, 0.000, 0.759], [0.500, 0.500, 0.500], [0.500, 0.500, 0.000]], "spacegroup": "P4/mmm, No. 123", "polymorph_energy_ev_per_atom": 0.000}


The calculation returns the following formation energy from raw total energies values, one per record and in order: -0.38, -0.62, -0.77, 0.45, -0.50, -0.61 eV/atom.
The calculation returns the following ρ values, one per record and in order: 6624, 6828, 7118, 6612, 6774, 7354 kg/m3.